A relaxed structure of Nd2CdWO8. Source: the Alexandria database, functional PBE with a Hubbard U.

CIF file:
```
data_Nd2CdWO8
_chemical_formula_sum 'Nd2 Cd1 W1 O8'
_cell_length_a 4.544
_cell_length_b 5.244
_cell_length_c 7.541
_cell_angle_alpha 85.98
_cell_angle_beta 89.39
_cell_angle_gamma 86.42
_space_group_name_H-M_alt 'P 1'
_space_group_IT_number 1
_space_group_name_Hall 'P 1'
loop_
_atom_site_label
_atom_site_type_symbol
_atom_site_fract_x
_atom_site_fract_y
_atom_site_fract_z
Nd1 Nd 0.073 0.464 0.248
Nd2 Nd 0.927 0.536 0.752
Cd1 Cd 0.500 0.000 0.000
W1 W 0.500 0.000 0.500
O1 O 0.177 0.249 0.546
O2 O 0.200 0.306 0.976
O3 O 0.272 0.868 0.308
O4 O 0.377 0.748 0.682
O5 O 0.623 0.252 0.318
O6 O 0.728 0.132 0.692
O7 O 0.800 0.694 0.024
O8 O 0.823 0.751 0.454
```

## Properties
The calculation puts the total energy at -6.87 eV per atom. The value obtained for the magnetic moment is 2.06 μB/cell.